No. 1
The following is a DFT calculation (PBE) of crystalline MoRhN3 at its relaxed geometry.

Cell: 3.8022 3.8022 3.8022 Å, 90.00 90.00 90.00°
Last column: nearest neighbours and their distance in Å.
Fractional coordinates of all 5 atoms:
Mo (0.0000, 0.0000, 0.0000)  12 N 2.69
Rh (0.5000, 0.5000, 0.5000)  6 N 1.90
N (0.0000, 0.5000, 0.5000)  2 Rh 1.90
N (0.5000, 0.0000, 0.5000)  2 Rh 1.90
N (0.5000, 0.5000, 0.0000)  2 Rh 1.90

Values from the calculation:
ΔE_f (raw)	1.6436	eV per atom
theoretical density	7277	kg/m³

=====

No. 2
The following is a DFT calculation (PBE) of crystalline MoRhN2 at its relaxed geometry.

Cell: 5.4206 5.4206 5.4206 Å, 90.00 90.00 90.00°
Last column: nearest neighbours and their distance in Å.
Fractional coordinates of all 16 atoms:
Mo (0.0000, 0.0000, 0.0000)  8 N 2.35
Mo (0.0000, 0.5000, 0.5000)  8 N 2.35
Mo (0.5000, 0.0000, 0.5000)  8 N 2.35
Mo (0.5000, 0.5000, 0.0000)  8 N 2.35
Rh (0.0000, 0.0000, 0.5000)  8 N 2.35
Rh (0.0000, 0.5000, 0.0000)  8 N 2.35
Rh (0.5000, 0.0000, 0.0000)  8 N 2.35
Rh (0.5000, 0.5000, 0.5000)  8 N 2.35
N (0.2500, 0.2500, 0.2500)  4 Rh 2.35, 4 Mo 2.35
N (0.2500, 0.2500, 0.7500)  4 Mo 2.35, 4 Rh 2.35
N (0.2500, 0.7500, 0.2500)  4 Mo 2.35, 4 Rh 2.35
N (0.2500, 0.7500, 0.7500)  4 Rh 2.35, 4 Mo 2.35
N (0.7500, 0.2500, 0.2500)  4 Mo 2.35, 4 Rh 2.35
N (0.7500, 0.2500, 0.7500)  4 Rh 2.35, 4 Mo 2.35
N (0.7500, 0.7500, 0.2500)  4 Rh 2.35, 4 Mo 2.35
N (0.7500, 0.7500, 0.7500)  4 Mo 2.35, 4 Rh 2.35

Values from the calculation:
relative energy among the computed polymorphs	275.1	kJ/mol of formula units
ΔE_f (raw)	0.7673	eV per atom
theoretical density	9461	kg/m³

=====

No. 3
The following is a DFT calculation (PBE) of crystalline Mo2RuRhN at its relaxed geometry.

Cell: 4.0822 4.0822 4.0260 Å, 90.00 90.00 90.00°
Last column: nearest neighbours and their distance in Å.
Fractional coordinates of all 5 atoms:
Mo (0.0000, 0.5000, 0.0000)  2 N 2.04
Mo (0.5000, 0.0000, 0.0000)  2 N 2.04
Ru (0.0000, 0.0000, 0.5000)  2 N 2.01
Rh (0.5000, 0.5000, 0.5000)  8 Mo 2.87, 4 Ru 2.89
N (0.0000, 0.0000, 0.0000)  2 Ru 2.01, 4 Mo 2.04

Values from the calculation:
ΔE_f (raw)	-0.0816	eV per atom
theoretical density	10144	kg/m³

=====

No. 4
The following is a DFT calculation (PBE) of crystalline MoRhSN2 at its relaxed geometry.

Cell: 3.8293 3.8293 4.8931 Å, 90.00 90.00 90.00°
Last column: nearest neighbours and their distance in Å.
Fractional coordinates of all 5 atoms:
Mo (0.0000, 0.0000, 0.0000)  4 S 2.71
Rh (0.5000, 0.5000, 0.5000)  4 N 1.91
S (0.5000, 0.5000, 0.0000)  2 Rh 2.45, 4 Mo 2.71
N (0.0000, 0.5000, 0.5000)  2 Rh 1.91
N (0.5000, 0.0000, 0.5000)  2 Rh 1.91

Values from the calculation:
relative energy among the computed polymorphs	276.9	kJ/mol of formula units
ΔE_f (raw)	1.3142	eV per atom
theoretical density	5992	kg/m³

=====

No. 5
The following is a DFT calculation (PBE) of crystalline MoRhS2N at its relaxed geometry.

Cell: 4.7688 4.7688 3.7398 Å, 90.00 90.00 90.00°
Last column: nearest neighbours and their distance in Å.
Fractional coordinates of all 5 atoms:
Mo (0.0000, 0.0000, 0.0000)  2 N 1.87
Rh (0.5000, 0.5000, 0.5000)  8 S 3.03, 4 N 3.37
S (0.0000, 0.5000, 0.0000)  2 Mo 2.38
S (0.5000, 0.0000, 0.0000)  2 Mo 2.38
N (0.0000, 0.0000, 0.5000)  2 Mo 1.87

Values from the calculation:
relative energy among the computed polymorphs	0.0	kJ/mol of formula units
ΔE_f (raw)	0.5723	eV per atom
theoretical density	5408	kg/m³

=====

No. 6
The following is a DFT calculation (PBE) of crystalline MoRhSN2 at its relaxed geometry.

Cell: 3.8329 3.8329 5.0329 Å, 90.00 90.00 90.00°
Last column: nearest neighbours and their distance in Å.
Fractional coordinates of all 5 atoms:
Mo (0.0000, 0.0000, 0.0000)  4 N 1.92
Rh (0.5000, 0.5000, 0.5000)  4 S 2.71
S (0.0000, 0.0000, 0.5000)  2 Mo 2.52, 4 Rh 2.71
N (0.0000, 0.5000, 0.0000)  2 Mo 1.92
N (0.5000, 0.0000, 0.0000)  2 Mo 1.92

Values from the calculation:
relative energy among the computed polymorphs	0.0	kJ/mol of formula units
ΔE_f (raw)	0.7401	eV per atom
theoretical density	5815	kg/m³

=====

No. 7
The following is a DFT calculation (PBE) of crystalline MoRhS2N at its relaxed geometry.

Cell: 4.8286 4.8286 3.6175 Å, 90.00 90.00 90.00°
Last column: nearest neighbours and their distance in Å.
Fractional coordinates of all 5 atoms:
Mo (0.0000, 0.0000, 0.0000)  8 S 3.02
Rh (0.5000, 0.5000, 0.5000)  2 N 1.81
S (0.0000, 0.5000, 0.5000)  2 Rh 2.41
S (0.5000, 0.0000, 0.5000)  2 Rh 2.41
N (0.5000, 0.5000, 0.0000)  2 Rh 1.81

Values from the calculation:
relative energy among the computed polymorphs	111.8	kJ/mol of formula units
ΔE_f (raw)	0.8041	eV per atom
theoretical density	5453	kg/m³

=====

No. 8
The following is a DFT calculation (PBE) of crystalline MoRhSe2N at its relaxed geometry.

Cell: 5.0814 5.0814 3.6283 Å, 90.00 90.00 90.00°
Last column: nearest neighbours and their distance in Å.
Fractional coordinates of all 5 atoms:
Mo (0.0000, 0.0000, 0.0000)  8 Se 3.12
Rh (0.5000, 0.5000, 0.5000)  2 N 1.81
Se (0.0000, 0.5000, 0.5000)  2 Rh 2.54
Se (0.5000, 0.0000, 0.5000)  2 Rh 2.54
N (0.5000, 0.5000, 0.0000)  2 Rh 1.81

Values from the calculation:
relative energy among the computed polymorphs	93.4	kJ/mol of formula units
ΔE_f (raw)	0.7553	eV per atom
theoretical density	6572	kg/m³

=====

No. 9
The following is a DFT calculation (PBE) of crystalline MoRhSe2N at its relaxed geometry.

Cell: 5.0100 5.0100 3.7346 Å, 90.00 90.00 90.00°
Last column: nearest neighbours and their distance in Å.
Fractional coordinates of all 5 atoms:
Mo (0.0000, 0.0000, 0.0000)  2 N 1.87
Rh (0.5000, 0.5000, 0.5000)  8 Se 3.12
Se (0.0000, 0.5000, 0.0000)  2 Mo 2.51
Se (0.5000, 0.0000, 0.0000)  2 Mo 2.51
N (0.0000, 0.0000, 0.5000)  2 Mo 1.87

Values from the calculation:
relative energy among the computed polymorphs	0.0	kJ/mol of formula units
ΔE_f (raw)	0.5616	eV per atom
theoretical density	6568	kg/m³

=====

No. 10
The following is a DFT calculation (PBE) of crystalline Tc2MoRhN at its relaxed geometry.

Cell: 4.0267 4.0267 4.0924 Å, 90.00 90.00 90.00°
Last column: nearest neighbours and their distance in Å.
Fractional coordinates of all 5 atoms:
Tc (0.0000, 0.5000, 0.0000)  2 N 2.01
Tc (0.5000, 0.0000, 0.0000)  2 N 2.01
Mo (0.0000, 0.0000, 0.5000)  2 N 2.05
Rh (0.5000, 0.5000, 0.5000)  4 Mo 2.85, 8 Tc 2.87
N (0.0000, 0.0000, 0.0000)  4 Tc 2.01, 2 Mo 2.05

Values from the calculation:
ΔE_f (raw)	-0.0766	eV per atom
theoretical density	10232	kg/m³

=====

No. 11
The following is a DFT calculation (PBE) of crystalline TeMoRhN2 at its relaxed geometry.

Cell: 3.8297 3.8297 6.6830 Å, 90.00 90.00 90.00°
Last column: nearest neighbours and their distance in Å.
Fractional coordinates of all 5 atoms:
Te (0.0000, 0.0000, 0.0000)  4 Mo 2.71
Mo (0.5000, 0.5000, 0.0000)  4 Te 2.71
Rh (0.0000, 0.0000, 0.5000)  4 N 1.91
N (0.0000, 0.5000, 0.5000)  2 Rh 1.91
N (0.5000, 0.0000, 0.5000)  2 Rh 1.91

Values from the calculation:
relative energy among the computed polymorphs	364.1	kJ/mol of formula units
ΔE_f (raw)	1.4409	eV per atom
theoretical density	6005	kg/m³

=====

No. 12
The following is a DFT calculation (PBE) of crystalline TeMoRhN2 at its relaxed geometry.

Cell: 3.8777 3.8777 5.7958 Å, 90.00 90.00 90.00°
Last column: nearest neighbours and their distance in Å.
Fractional coordinates of all 5 atoms:
Te (0.0000, 0.0000, 0.0000)  4 Rh 2.74, 2 Mo 2.90
Mo (0.0000, 0.0000, 0.5000)  4 N 1.94
Rh (0.5000, 0.5000, 0.0000)  4 Te 2.74
N (0.0000, 0.5000, 0.5000)  2 Mo 1.94
N (0.5000, 0.0000, 0.5000)  2 Mo 1.94

Values from the calculation:
relative energy among the computed polymorphs	0.0	kJ/mol of formula units
ΔE_f (raw)	0.6862	eV per atom
theoretical density	6754	kg/m³

=====

Q: The lowest theoretical density belongs to which entry?
A: number 5